Density functional theory data (PBE) for a geometry-optimized Pu4In structure.

Cell and atoms, written as POSCAR:
```
Pu4In
1.0
5.824 0.000 0.000
0.000 5.824 0.000
0.000 0.000 5.824
Pu In
4 1
Cartesian
0.000 0.000 0.000 Pu
0.000 2.912 2.912 Pu
2.912 0.000 2.912 Pu
2.912 2.912 0.000 Pu
2.912 2.912 2.912 In
```

Computed properties:
**Formation enthalpy at 0 K**: 1.060 eV/atom
**Density of states at the Fermi level**: 46.251 states/eV/cell
**Total magnetization**: 2.682 μB per atom
**Calculated volume**: 39.5 Å³ per atom
**VASP energy**: -0.4025 hartree per atom



Density functional theory data (PBE) for a geometry-optimized PuIn4 structure.

Cell and atoms, written as POSCAR:
```
PuIn4
1.0
5.951 0.000 0.000
0.000 5.951 0.000
0.000 0.000 5.951
Pu In
1 4
Cartesian
0.000 0.000 0.000 Pu
0.000 0.000 2.975 In
0.000 2.975 0.000 In
2.975 0.000 0.000 In
2.975 2.975 2.975 In
```

Computed properties:
**Formation enthalpy at 0 K**: 0.749 eV/atom
**Density of states at the Fermi level**: 15.350 states/eV/cell
**Total magnetization**: 1.468 μB per atom
**Calculated volume**: 42.1 Å³ per atom
**VASP energy**: -0.1583 hartree per atom



Density functional theory data (PBE) for a geometry-optimized PuIn3 structure.

Cell and atoms, written as POSCAR:
```
PuIn3
1.0
3.120 0.000 0.000
0.000 11.018 0.000
0.000 0.000 5.998
Pu In
2 6
Cartesian
0.000 0.000 0.000 Pu
1.560 5.509 2.999 Pu
0.000 2.782 1.826 In
0.000 5.509 5.990 In
0.000 8.236 1.826 In
1.560 0.000 2.991 In
1.560 2.727 4.826 In
1.560 8.291 4.826 In
```

Computed properties:
**Formation enthalpy at 0 K**: -0.111 eV/atom
**Density of states at the Fermi level**: 17.001 states/eV/cell
**Total magnetization**: 1.505 μB per atom
**Calculated volume**: 25.8 Å³ per atom
**VASP energy**: -0.2112 hartree per atom



Density functional theory data (PBE) for a geometry-optimized Pu2In3 structure.

Cell and atoms, written as POSCAR:
```
Pu2In3
1.0
3.237 0.000 0.000
0.000 3.237 0.000
0.000 0.000 24.444
Pu In
4 6
Cartesian
0.000 0.000 2.429 Pu
0.000 0.000 22.014 Pu
1.618 1.618 9.792 Pu
1.618 1.618 14.651 Pu
0.000 0.000 7.310 In
0.000 0.000 12.222 In
0.000 0.000 17.133 In
1.618 1.618 0.000 In
1.618 1.618 4.911 In
1.618 1.618 19.532 In
```

Computed properties:
**Formation enthalpy at 0 K**: -0.138 eV/atom
**Density of states at the Fermi level**: 24.065 states/eV/cell
**Total magnetization**: 2.375 μB per atom
**Calculated volume**: 25.6 Å³ per atom
**VASP energy**: -0.2761 hartree per atom



Question: Among the records above, which one has the highest VASP energy?
Answer: PuIn4



Question: The highest VASP energy belongs to which entry?
Answer: PuIn4